# 1
Computed, not measured: LiHoPd4 after structural relaxation at the PBE-GGA level of DFT.

crystal system = monoclinic
ΔE_f = -0.486 eV per atom
energy above the lowest structure with this stoichiometry = 124.8 meV per atom
space-group type = C2/m

a = 3.454 Å, b = 3.454 Å, c = 8.615 Å
α = 90.05°, β = 90.05°, γ = 90.00°
Positions (direct):
Li: 0.000 0.000 0.000
Ho: 0.500 0.500 0.500
Pd: 0.000 0.000 0.321
Pd: 0.000 0.000 0.679
Pd: 0.499 0.499 0.159
Pd: 0.501 0.501 0.841



# 2
Computed, not measured: LiHo2Pd after structural relaxation at the PBE-GGA level of DFT.

crystal system = trigonal
ΔE_f = -0.246 eV per atom
space-group type = R3m

a = 8.013 Å, b = 8.013 Å, c = 8.013 Å
α = 29.67°, β = 29.67°, γ = 29.67°
Positions (direct):
Li: 0.000 0.000 0.000
Ho: 0.562 0.562 0.562
Ho: 0.766 0.766 0.766
Pd: 0.163 0.163 0.163